[1]
First-principles (PBEsol) data for crystalline Nd2Ir2O7 at its relaxed geometry, as listed in the Alexandria database.

abc: 7.312 7.312 7.312
angles: 60.00 60.00 60.00
Element x y z (fractional)
1 O 0.043 0.457 0.043
2 O 0.207 0.207 0.793
3 O 0.457 0.457 0.043
4 O 0.207 0.793 0.207
5 O 0.457 0.043 0.043
6 O 0.043 0.457 0.457
7 O 0.043 0.043 0.457
8 O 0.793 0.793 0.207
9 O 0.457 0.043 0.457
10 O 0.500 0.500 0.500
11 O 0.750 0.750 0.750
12 O 0.793 0.207 0.793
13 O 0.207 0.793 0.793
14 O 0.793 0.207 0.207
15 Nd 0.125 0.625 0.625
16 Nd 0.625 0.625 0.125
17 Nd 0.625 0.625 0.625
18 Nd 0.625 0.125 0.625
19 Ir 0.625 0.125 0.125
20 Ir 0.125 0.125 0.125
21 Ir 0.125 0.125 0.625
22 Ir 0.125 0.625 0.125

Output
energy	-8.074	eV per atom
formation energy from raw total energies	-2008	meV/atom
space-group type	No. 227

[2]
First-principles (PBEsol) data for crystalline NdPIr at its relaxed geometry, as listed in the Alexandria database.

abc: 4.070 4.070 7.600
angles: 105.53 105.53 90.00
Element x y z (fractional)
1 Ir 0.912 0.412 0.825
2 Ir 0.662 0.662 0.325
3 Nd 0.251 0.251 0.502
4 Nd 0.501 0.001 0.002
5 P 0.080 0.580 0.160
6 P 0.830 0.830 0.660

Output
energy	-8.083	eV per atom
formation enthalpy at 0 K	-1.156	eV/atom
space-group type	No. 109

[3]
First-principles (PBEsol) data for crystalline Nd2IrPd at its relaxed geometry, as listed in the Alexandria database.

abc: 4.978 4.978 4.978
angles: 60.00 60.00 60.00
Element x y z (fractional)
1 Nd 0.250 0.250 0.250
2 Nd 0.750 0.750 0.750
3 Ir 0.500 0.500 0.500
4 Pd 0.000 0.000 0.000

Output
energy	-7.181	eV per atom
formation enthalpy at 0 K	-0.652	eV/atom
space-group type	No. 225

[4]
First-principles (PBEsol) data for crystalline PmNdIr2 at its relaxed geometry, as listed in the Alexandria database.

abc: 4.923 4.923 4.923
angles: 60.00 60.00 60.00
Element x y z (fractional)
1 Pm 0.000 0.000 0.000
2 Ir 0.750 0.750 0.750
3 Ir 0.250 0.250 0.250
4 Nd 0.500 0.500 0.500

Output
energy	-8.004	eV per atom
formation enthalpy at 0 K	-0.516	eV/atom
space-group type	No. 225

[5]
First-principles (PBEsol) data for crystalline Nd2IrRh at its relaxed geometry, as listed in the Alexandria database.

abc: 4.931 4.931 4.931
angles: 60.00 60.00 60.00
Element x y z (fractional)
1 Nd 0.250 0.250 0.250
2 Nd 0.750 0.750 0.750
3 Ir 0.500 0.500 0.500
4 Rh 0.000 0.000 0.000

Output
energy	-7.626	eV per atom
formation enthalpy at 0 K	-0.552	eV/atom
space-group type	No. 225

[6]
First-principles (PBEsol) data for crystalline NdSbIr at its relaxed geometry, as listed in the Alexandria database.

abc: 4.549 7.303 7.903
angles: 90.00 90.00 90.00
Element x y z (fractional)
1 Nd 0.750 0.487 0.808
2 Nd 0.250 0.513 0.192
3 Nd 0.250 0.013 0.308
4 Nd 0.750 0.987 0.692
5 Sb 0.250 0.176 0.914
6 Sb 0.750 0.324 0.414
7 Sb 0.750 0.824 0.086
8 Sb 0.250 0.676 0.586
9 Ir 0.250 0.297 0.590
10 Ir 0.250 0.797 0.910
11 Ir 0.750 0.703 0.410
12 Ir 0.750 0.203 0.090

Output
energy	-7.390	eV per atom
formation energy from raw total energies	-874	meV/atom
space-group type	No. 62

[7]
First-principles (PBEsol) data for crystalline NdSi2Ir2 at its relaxed geometry, as listed in the Alexandria database.

abc: 4.072 4.072 5.809
angles: 110.52 110.52 90.00
Element x y z (fractional)
1 Nd 0.000 0.000 0.000
2 Si 0.377 0.377 0.753
3 Si 0.623 0.623 0.247
4 Ir 0.750 0.250 0.500
5 Ir 0.250 0.750 0.500

Output
energy	-8.356	eV per atom
formation energy from raw total energies	-1095	meV/atom
space-group type	No. 139

[8]
First-principles (PBEsol) data for crystalline NdSi2Ir at its relaxed geometry, as listed in the Alexandria database.

abc: 4.192 4.217 8.597
angles: 75.80 90.00 90.00
Element x y z (fractional)
1 Si 0.250 0.962 0.076
2 Si 0.750 0.038 0.924
3 Si 0.250 0.250 0.499
4 Si 0.750 0.750 0.501
5 Ir 0.750 0.178 0.643
6 Ir 0.250 0.822 0.357
7 Nd 0.250 0.605 0.789
8 Nd 0.750 0.395 0.211

Output
energy	-7.606	eV per atom
formation energy from raw total energies	-985	meV/atom
space-group type	No. 63

[9]
First-principles (PBEsol) data for crystalline NdSi2Ir3 at its relaxed geometry, as listed in the Alexandria database.

abc: 5.561 6.641 6.641
angles: 65.75 65.25 65.25
Element x y z (fractional)
1 Si 0.718 0.080 0.080
2 Si 0.379 0.420 0.420
3 Si 0.282 0.920 0.920
4 Si 0.621 0.580 0.580
5 Nd 0.972 0.750 0.750
6 Nd 0.028 0.250 0.250
7 Ir 0.500 0.500 0.000
8 Ir 0.000 0.280 0.720
9 Ir 0.500 0.780 0.220
10 Ir 0.000 0.720 0.280
11 Ir 0.500 0.000 0.500
12 Ir 0.500 0.220 0.780

Output
energy	-8.658	eV per atom
formation energy from raw total energies	-969	meV/atom
space-group type	No. 74

[10]
First-principles (PBEsol) data for crystalline NdSi3Ir at its relaxed geometry, as listed in the Alexandria database.

abc: 4.218 4.218 5.724
angles: 111.62 111.62 90.00
Element x y z (fractional)
1 Si 0.737 0.237 0.474
2 Si 0.237 0.737 0.474
3 Si 0.587 0.587 0.174
4 Ir 0.347 0.347 0.694
5 Nd 0.002 0.002 0.004

Output
energy	-7.326	eV per atom
formation energy from raw total energies	-880	meV/atom
space-group type	No. 107

[11]
First-principles (PBEsol) data for crystalline NdSi2Ir2 at its relaxed geometry, as listed in the Alexandria database.

abc: 4.145 4.145 9.829
angles: 90.00 90.00 90.00
Element x y z (fractional)
1 Ir 0.000 0.500 0.373
2 Ir 0.000 0.000 0.000
3 Ir 0.500 0.500 0.000
4 Ir 0.500 0.000 0.627
5 Si 0.000 0.000 0.500
6 Si 0.000 0.500 0.130
7 Si 0.500 0.500 0.500
8 Si 0.500 0.000 0.870
9 Nd 0.500 0.000 0.255
10 Nd 0.000 0.500 0.745

Output
energy	-8.331	eV per atom
formation energy from raw total energies	-1069	meV/atom
space-group type	No. 129

[12]
First-principles (PBEsol) data for crystalline NdSmIr2 at its relaxed geometry, as listed in the Alexandria database.

abc: 4.911 4.911 4.911
angles: 60.00 60.00 60.00
Element x y z (fractional)
1 Nd 0.500 0.500 0.500
2 Ir 0.250 0.250 0.250
3 Ir 0.750 0.750 0.750
4 Sm 0.000 0.000 0.000

Output
energy	-8.013	eV per atom
formation enthalpy at 0 K	-0.537	eV/atom
space-group type	No. 225